No. 1
First-principles (GGA-PBE) data for a geometry-optimized PmInSbPd structure, as listed in Alexandria.

Geometry as CIF:
```
data_PmInSbPd
_chemical_formula_sum 'Pm4 In4 Sb4 Pd4'
_symmetry_space_group_name_H-M 'F -4 3 m'
_symmetry_Int_Tables_number 216
_symmetry_space_group_name_Hall 'F -4 2 3'
_cell_length_a 7.270
_cell_length_b 7.270
_cell_length_c 7.270
_cell_angle_alpha 90.00
_cell_angle_beta 90.00
_cell_angle_gamma 90.00
loop_
_atom_site_label
_atom_site_type_symbol
_atom_site_fract_x
_atom_site_fract_y
_atom_site_fract_z
_atom_site_occupancy
Pm1 Pm 0.000 0.000 0.000 1
In1 In 0.250 0.250 0.250 1
Sb1 Sb 0.000 0.000 0.500 1
Pd1 Pd 0.250 0.250 0.750 1
```

Results
Uncorrected formation energy, eV per atom: -0.4242
D(E_F), states/eV per cell: 7.56
Magnetic moment, μB/f.u.: 0.0


No. 2
First-principles (GGA-PBE) data for a geometry-optimized Pm2InSb3Pd4 structure, as listed in Alexandria.

Geometry as CIF:
```
data_Pm2InSb3Pd4
_chemical_formula_sum 'Pm2 In1 Sb3 Pd4'
_symmetry_space_group_name_H-M 'P -4 m 2'
_symmetry_Int_Tables_number 115
_symmetry_space_group_name_Hall 'P -4 -2'
_cell_length_a 4.461
_cell_length_b 4.461
_cell_length_c 11.267
_cell_angle_alpha 90.00
_cell_angle_beta 90.00
_cell_angle_gamma 90.00
loop_
_atom_site_label
_atom_site_type_symbol
_atom_site_fract_x
_atom_site_fract_y
_atom_site_fract_z
_atom_site_occupancy
Pm1 Pm 0.000 0.500 0.231 1
In1 In 0.000 0.000 0.500 1
Sb1 Sb 0.000 0.500 0.867 1
Sb2 Sb 0.500 0.500 0.500 1
Pd1 Pd 0.000 0.000 0.000 1
Pd2 Pd 0.000 0.500 0.638 1
Pd3 Pd 0.500 0.500 0.000 1
```

Results
Uncorrected formation energy, eV per atom: -0.8066
D(E_F), states/eV per cell: 3.48
Magnetic moment, μB/f.u.: 0.0


What did the second record say?
First-principles (GGA-PBE) data for a geometry-optimized Pm2InSb3Pd4 structure, as listed in Alexandria.

Geometry as CIF:
```
data_Pm2InSb3Pd4
_chemical_formula_sum 'Pm2 In1 Sb3 Pd4'
_symmetry_space_group_name_H-M 'P -4 m 2'
_symmetry_Int_Tables_number 115
_symmetry_space_group_name_Hall 'P -4 -2'
_cell_length_a 4.461
_cell_length_b 4.461
_cell_length_c 11.267
_cell_angle_alpha 90.00
_cell_angle_beta 90.00
_cell_angle_gamma 90.00
loop_
_atom_site_label
_atom_site_type_symbol
_atom_site_fract_x
_atom_site_fract_y
_atom_site_fract_z
_atom_site_occupancy
Pm1 Pm 0.000 0.500 0.231 1
In1 In 0.000 0.000 0.500 1
Sb1 Sb 0.000 0.500 0.867 1
Sb2 Sb 0.500 0.500 0.500 1
Pd1 Pd 0.000 0.000 0.000 1
Pd2 Pd 0.000 0.500 0.638 1
Pd3 Pd 0.500 0.500 0.000 1
```

Results
Uncorrected formation energy, eV per atom: -0.8066
D(E_F), states/eV per cell: 3.48
Magnetic moment, μB/f.u.: 0.0